1.
First-principles (PBE) data for an optimized crystal structure of LiTaAg2, as listed in the Alexandria database.

a = 2.7544 Å, b = 4.0413 Å, c = 6.1978 Å
α = 90.00°, β = 90.00°, γ = 90.00°
Closest atoms and distances in Å follow each position.
Atoms (fractional coordinates):
Li1 0.0000 0.0000 0.0000  2 Li 2.75, 8 Ag 2.88
Ta1 0.0000 0.0000 0.5000  2 Ta 2.75, 8 Ag 2.91
Ag1 0.5000 0.5000 0.2446  3 Ag 2.75-3.03, 4 Li 2.88, 4 Ta 2.91
Ag2 0.5000 0.5000 0.7554  3 Ag 2.75-3.03, 4 Li 2.88, 4 Ta 2.91

Computed properties:
ΔE_f ... 236.2 meV per atom
Electronic total energy ... -4.63 eV per atom

---

2.
First-principles (PBE) data for an optimized crystal structure of LiTaAg2, as listed in the Alexandria database.

a = 5.9449 Å, b = 5.9449 Å, c = 5.9449 Å
α = 153.12°, β = 130.48°, γ = 57.24°
Closest atoms and distances in Å follow each position.
Atoms (fractional coordinates):
Li1 0.0000 0.0000 0.0000  2 Li 2.76, 6 Ag 2.86-2.88
Ta1 0.7171 0.2171 0.5000  2 Ta 2.76, 6 Ag 2.85-2.86
Ag1 0.2425 0.7425 0.5000  4 Ag 2.76-2.83, 4 Ta 2.86, 2 Li 2.88
Ag2 0.4787 0.4787 0.0000  4 Ag 2.76-2.83, 2 Ta 2.85, 4 Li 2.86

Computed properties:
ΔE_f ... 325.9 meV per atom
Electronic total energy ... -4.54 eV per atom

---

3.
First-principles (PBE) data for an optimized crystal structure of LiTaAg2, as listed in the Alexandria database.

a = 5.1221 Å, b = 2.7122 Å, c = 5.7162 Å
α = 90.00°, β = 115.98°, γ = 90.00°
Closest atoms and distances in Å follow each position.
Atoms (fractional coordinates):
Li1 0.0000 0.0000 0.0000  2 Li 2.71, 6 Ag 2.86-2.90
Ta1 0.5000 0.5000 0.5000  2 Ta 2.71, 6 Ag 2.86-2.90
Ag1 0.0000 0.0000 0.5000  2 Ag 2.71, 2 Li 2.86, 4 Ta 2.90
Ag2 0.5000 0.5000 0.0000  2 Ag 2.71, 2 Ta 2.86, 4 Li 2.90

Computed properties:
ΔE_f ... 378.2 meV per atom
Electronic total energy ... -4.49 eV per atom

---

4.
First-principles (PBE) data for an optimized crystal structure of LiTaAg, as listed in the Alexandria database.

a = 7.7573 Å, b = 7.5722 Å, c = 2.7558 Å
α = 83.45°, β = 75.88°, γ = 20.67°
Closest atoms and distances in Å follow each position.
Atoms (fractional coordinates):
Li1 0.0000 0.0000 0.0000  6 Li 2.76-3.08, 2 Ag 2.79, 2 Ta 3.00
Ta1 0.6735 0.6735 0.3265  6 Ta 2.76-3.08, 2 Ag 2.95, 2 Li 3.00
Ag1 0.3431 0.3431 0.6569  6 Ag 2.76-3.08, 2 Li 2.79, 2 Ta 2.95

Computed properties:
ΔE_f ... 241.9 meV per atom
Electronic total energy ... -5.30 eV per atom

---

5.
First-principles (PBE) data for an optimized crystal structure of LiTaAg, as listed in the Alexandria database.

a = 4.5927 Å, b = 4.5927 Å, c = 2.7044 Å
α = 90.00°, β = 90.00°, γ = 120.00°
Closest atoms and distances in Å follow each position.
Atoms (fractional coordinates):
Li1 0.0000 0.0000 0.0000  3 Ag 2.65, 2 Li 2.70
Ta1 0.6667 0.3333 0.5000  2 Ta 2.70, 6 Li 2.98, 6 Ag 2.98
Ag1 0.3333 0.6667 0.0000  3 Li 2.65, 2 Ag 2.70

Computed properties:
ΔE_f ... 363.7 meV per atom
Electronic total energy ... -5.18 eV per atom

---

6.
First-principles (PBE) data for an optimized crystal structure of LiTaAg, as listed in the Alexandria database.

a = 2.8552 Å, b = 2.8552 Å, c = 7.4588 Å
α = 90.00°, β = 90.00°, γ = 120.00°
Closest atoms and distances in Å follow each position.
Atoms (fractional coordinates):
Li1 0.0000 0.0000 0.0000  6 Li 2.86, 3 Ag 2.87, 3 Ta 3.08
Ta1 0.3333 0.6667 0.3485  6 Ta 2.86, 3 Ag 3.00, 3 Li 3.08
Ag1 0.6667 0.3333 0.6851  6 Ag 2.86, 3 Li 2.87, 3 Ta 3.00

Computed properties:
ΔE_f ... 238.0 meV per atom
Electronic total energy ... -5.30 eV per atom

---

7.
First-principles (PBE) data for an optimized crystal structure of LiTa2TcAg, as listed in the Alexandria database.

a = 4.7387 Å, b = 4.7387 Å, c = 5.2932 Å
α = 90.00°, β = 90.00°, γ = 90.00°
Closest atoms and distances in Å follow each position.
Atoms (fractional coordinates):
Li1 0.0000 0.0000 0.0000  4 Ag 3.35, 8 Ta 3.55
Ta1 0.0000 0.5000 0.5000  2 Tc 2.37
Ta2 0.5000 0.0000 0.5000  2 Tc 2.37
Tc1 0.5000 0.5000 0.5000  4 Ta 2.37, 2 Ag 2.65
Ag1 0.5000 0.5000 0.0000  2 Tc 2.65

Computed properties:
ΔE_f ... 1102.4 meV per atom
Electronic total energy ... -6.66 eV per atom

---

8.
First-principles (PBE) data for an optimized crystal structure of Li2TaAgTe, as listed in the Alexandria database.

a = 5.1953 Å, b = 5.1953 Å, c = 5.1142 Å
α = 90.00°, β = 90.00°, γ = 90.00°
Closest atoms and distances in Å follow each position.
Atoms (fractional coordinates):
Li1 0.0000 0.5000 0.0000  2 Ta 2.60
Li2 0.5000 0.0000 0.0000  2 Ta 2.60
Ta1 0.0000 0.0000 0.0000  2 Ag 2.56, 4 Li 2.60
Ag1 0.0000 0.0000 0.5000  2 Ta 2.56
Te1 0.5000 0.5000 0.5000  8 Li 3.65, 4 Ag 3.67

Computed properties:
Electronic total energy ... -3.13 eV per atom
Formation energy (no corrections) ... 1.20 eV per atom

---

9.
First-principles (PBE) data for an optimized crystal structure of LiZrTa2Ag, as listed in the Alexandria database.

a = 4.5285 Å, b = 4.5285 Å, c = 4.3981 Å
α = 90.00°, β = 90.00°, γ = 90.00°
Closest atoms and distances in Å follow each position.
Atoms (fractional coordinates):
Li1 0.0000 0.0000 0.0000  2 Ag 2.20, 4 Ta 2.26
Zr1 0.5000 0.5000 0.5000  8 Ta 3.16, 4 Ag 3.20
Ta1 0.0000 0.5000 0.0000  2 Li 2.26
Ta2 0.5000 0.0000 0.0000  2 Li 2.26
Ag1 0.0000 0.0000 0.5000  2 Li 2.20

Computed properties:
ΔE_f ... 910.1 meV per atom
Electronic total energy ... -6.49 eV per atom

---

10.
First-principles (PBE) data for an optimized crystal structure of Li2Tb3Ag5, as listed in the Alexandria database.

a = 10.3218 Å, b = 10.3218 Å, c = 3.9133 Å
α = 90.00°, β = 90.00°, γ = 90.00°
Closest atoms and distances in Å follow each position.
Atoms (fractional coordinates):
Li1 0.1158 0.3842 0.0000  6 Ag 2.59-2.67
Li2 0.3842 0.8842 0.0000  6 Ag 2.59-2.67
Li3 0.6158 0.1158 0.0000  6 Ag 2.59-2.67
Li4 0.8842 0.6158 0.0000  6 Ag 2.59-2.67
Tb1 0.0000 0.0000 0.0000  8 Ag 3.04
Tb2 0.1800 0.6800 0.0000  3 Li 2.98-3.12, 6 Ag 3.28-3.33
Tb3 0.3200 0.1800 0.0000  3 Li 2.98-3.12, 6 Ag 3.28-3.33
Tb4 0.5000 0.5000 0.0000  8 Ag 3.04
Tb5 0.6800 0.8200 0.0000  3 Li 2.98-3.12, 6 Ag 3.28-3.33
Tb6 0.8200 0.3200 0.0000  3 Li 2.98-3.12, 6 Ag 3.28-3.33
Ag1 0.0000 0.5000 0.5000  4 Li 2.59
Ag2 0.0612 0.2173 0.5000  2 Li 2.67, 1 Ag 2.99
Ag3 0.2173 0.9388 0.5000  2 Li 2.67, 1 Ag 2.99
Ag4 0.2827 0.4388 0.5000  2 Li 2.67, 1 Ag 2.99
Ag5 0.4388 0.7173 0.5000  2 Li 2.67, 1 Ag 2.99
Ag6 0.5000 0.0000 0.5000  4 Li 2.59
Ag7 0.5612 0.2827 0.5000  2 Li 2.67, 1 Ag 2.99
Ag8 0.7173 0.5612 0.5000  2 Li 2.67, 1 Ag 2.99
Ag9 0.7827 0.0612 0.5000  2 Li 2.67, 1 Ag 2.99
Ag10 0.9388 0.7827 0.5000  2 Li 2.67, 1 Ag 2.99

Computed properties:
ΔE_f ... -227.7 meV per atom
Electronic total energy ... -3.43 eV per atom

---

11.
First-principles (PBE) data for an optimized crystal structure of LiTb5Ag4, as listed in the Alexandria database.

a = 3.6462 Å, b = 3.6462 Å, c = 18.4462 Å
α = 90.00°, β = 90.00°, γ = 90.00°
Closest atoms and distances in Å follow each position.
Atoms (fractional coordinates):
Li1 0.0000 0.0000 0.0000  8 Tb 3.21
Tb1 0.5000 0.5000 0.1035  4 Ag 3.12, 4 Li 3.21
Tb2 0.5000 0.5000 0.3006  8 Ag 3.17-3.19
Tb3 0.5000 0.5000 0.5000  8 Ag 3.16
Tb4 0.5000 0.5000 0.6994  8 Ag 3.17-3.19
Tb5 0.5000 0.5000 0.8965  4 Ag 3.12, 4 Li 3.21
Ag1 0.0000 0.0000 0.1989  8 Tb 3.12-3.19
Ag2 0.0000 0.0000 0.4005  8 Tb 3.16-3.17
Ag3 0.0000 0.0000 0.5995  8 Tb 3.16-3.17
Ag4 0.0000 0.0000 0.8011  8 Tb 3.12-3.19

Computed properties:
ΔE_f ... -228.5 meV per atom
Electronic total energy ... -3.88 eV per atom

---

12.
First-principles (PBE) data for an optimized crystal structure of LiTbAg6, as listed in the Alexandria database.

a = 4.3550 Å, b = 4.3550 Å, c = 8.0843 Å
α = 90.00°, β = 90.00°, γ = 90.00°
Closest atoms and distances in Å follow each position.
Atoms (fractional coordinates):
Li1 0.0000 0.0000 0.0000  12 Ag 2.87-3.08
Tb1 0.0000 0.0000 0.5000  12 Ag 3.08
Ag1 0.0000 0.5000 0.2308  8 Ag 2.87-3.08, 2 Li 2.87, 2 Tb 3.08
Ag2 0.0000 0.5000 0.7692  2 Li 2.87, 8 Ag 2.87-3.08, 2 Tb 3.08
Ag3 0.5000 0.0000 0.2308  8 Ag 2.87-3.08, 2 Li 2.87, 2 Tb 3.08
Ag4 0.5000 0.0000 0.7692  2 Li 2.87, 8 Ag 2.87-3.08, 2 Tb 3.08
Ag5 0.5000 0.5000 0.0000  8 Ag 2.87, 4 Li 3.08
Ag6 0.5000 0.5000 0.5000  8 Ag 3.08, 4 Tb 3.08

Computed properties:
ΔE_f ... -103.3 meV per atom
Electronic total energy ... -3.06 eV per atom